1.
First-principles (PBE) data for an optimized crystal structure of CoHAu3, as listed in the Alexandria database.

Properties
Relative energy among the computed polymorphs: 797 meV/atom
Total DFT energy (no corrections): -14.1 eV per formula unit
Magnetic moment: 3.0 Bohr magnetons per cell

a b c (Å): 4.8306 4.8306 4.8306
angles (deg): 90.00 90.00 90.00
Closest atoms and distances in Å follow each position.
Sites, in units of the cell vectors:
Co: 0.0000 0.0000 0.0000  6 Au 2.42
Au: 0.0000 0.0000 0.5000  2 Co 2.42
H: 0.5000 0.5000 0.5000  12 Au 3.42
Au: 0.5000 0.0000 0.0000  2 Co 2.42
Au: 0.0000 0.5000 0.0000  2 Co 2.42

2.
First-principles (PBE) data for an optimized crystal structure of Co2HAu2, as listed in the Alexandria database.

Properties
Relative energy among the computed polymorphs: 311 meV/atom
Total DFT energy (no corrections): -20.7 eV per formula unit
Magnetic moment: 3.9 Bohr magnetons per cell

a b c (Å): 3.1755 3.1755 7.4199
angles (deg): 77.64 77.64 90.00
Closest atoms and distances in Å follow each position.
Sites, in units of the cell vectors:
Co: 0.7500 0.2500 0.5000  4 Co 2.25
Au: 0.4044 0.4044 0.1911  4 H 2.62, 4 Co 2.70, 1 Au 2.70
Au: 0.5956 0.5956 0.8089  4 H 2.62, 4 Co 2.70, 1 Au 2.70
H: 0.0000 0.0000 0.0000  8 Au 2.62
Co: 0.2500 0.7500 0.5000  4 Co 2.25

- Which of these has the lowest total DFT energy (no corrections)?
  Co2HAu2

- Which of these has the lowest magnetic moment?
  CoHAu3